Material: ZnAgSO
Method: DFT, PBE-GGA
State: optimized geometry

Cell: 5.2329 3.7313 13.1229 Å, 90.00 90.00 90.00°
Positions (direct):
S  0.2678  0.7500  0.4222
S  0.7678  0.7500  0.0778
S  0.2322  0.2500  0.9222
S  0.7322  0.2500  0.5778
Ag  0.7429  0.2500  0.9217
Ag  0.2429  0.2500  0.5783
Ag  0.7571  0.7500  0.4217
Ag  0.2571  0.7500  0.0783
O  0.1998  0.7500  0.6775
O  0.3002  0.2500  0.1775
O  0.8002  0.2500  0.3225
O  0.6998  0.7500  0.8225
Zn  0.1771  0.2500  0.3148
Zn  0.6771  0.2500  0.1852
Zn  0.8229  0.7500  0.6852
Zn  0.3229  0.7500  0.8148

Output
Energy above the lowest structure with this stoichiometry (meV per atom): 70
DFT total energy (eV per atom): -3.745
Mass density (g/cm³): 5.738

Material: ZnAgSO
Method: DFT, PBE-GGA
State: optimized geometry

Cell: 7.0752 7.0752 5.9412 Å, 90.00 90.00 25.23°
Positions (direct):
Zn  0.3190  0.3190  0.9441
Zn  0.6810  0.6810  0.4441
S  0.3204  0.3204  0.5392
S  0.6796  0.6796  0.0392
Ag  0.9580  0.9580  0.3794
Ag  0.0420  0.0420  0.8794
O  0.1013  0.1013  0.5299
O  0.8987  0.8987  0.0299

Output
Energy above the lowest structure with this stoichiometry (meV per atom): 144
DFT total energy (eV per atom): -3.671
Mass density (g/cm³): 5.799

Material: ZnAgSO
Method: DFT, PBE-GGA
State: optimized geometry

Cell: 6.2450 5.7214 7.8349 Å, 90.00 90.00 90.00°
Positions (direct):
Zn  0.4562  0.7821  0.1246
Zn  0.0438  0.2179  0.6246
Zn  0.9562  0.7179  0.8754
Zn  0.5438  0.2821  0.3754
S  0.0796  0.9288  0.1012
S  0.4204  0.0712  0.6012
S  0.9204  0.4288  0.3988
S  0.5796  0.5712  0.8988
Ag  0.3196  0.2528  0.9883
Ag  0.6804  0.7528  0.5117
Ag  0.8196  0.2472  0.0117
Ag  0.1804  0.7472  0.4883
O  0.4398  0.6038  0.3377
O  0.0602  0.3962  0.8377
O  0.9398  0.8962  0.6623
O  0.5602  0.1038  0.1623

Output
Energy above the lowest structure with this stoichiometry (meV per atom): 81
DFT total energy (eV per atom): -3.734
Mass density (g/cm³): 5.252

Material: ZnAgSO
Method: DFT, PBE-GGA
State: optimized geometry

Cell: 5.5859 6.5253 7.4447 Å, 90.00 90.00 90.00°
Positions (direct):
O  0.0009  0.7284  0.6273
O  0.5009  0.7716  0.3727
O  0.4991  0.2716  0.1273
O  0.9991  0.2284  0.8727
Zn  0.7987  0.6451  0.4254
Zn  0.2013  0.1451  0.0746
Zn  0.7013  0.3549  0.9254
Zn  0.2987  0.8549  0.5746
S  0.4904  0.6483  0.8583
S  0.5096  0.1483  0.6417
S  0.9904  0.8517  0.1417
S  0.0096  0.3517  0.3583
Ag  0.2879  0.5693  0.1540
Ag  0.2121  0.4307  0.6540
Ag  0.7121  0.0693  0.3461
Ag  0.7879  0.9307  0.8460

Output
Energy above the lowest structure with this stoichiometry (meV per atom): 74
DFT total energy (eV per atom): -3.741
Mass density (g/cm³): 5.418

Material: ZnAgSO
Method: DFT, PBE-GGA
State: optimized geometry

Cell: 3.6892 3.6892 9.4738 Å, 90.00 90.00 90.00°
Positions (direct):
Zn  0.7500  0.7500  0.5841
Zn  0.2500  0.2500  0.4159
O  0.2500  0.7500  0.5000
O  0.7500  0.2500  0.5000
S  0.2500  0.2500  0.1665
S  0.7500  0.7500  0.8335
Ag  0.2500  0.2500  0.8496
Ag  0.7500  0.7500  0.1504

Output
Energy above the lowest structure with this stoichiometry (meV per atom): 0
DFT total energy (eV per atom): -3.815
Mass density (g/cm³): 5.701

Material: ZnAgSO
Method: DFT, PBE-GGA
State: optimized geometry

Cell: 3.3719 5.8812 6.3565 Å, 90.00 74.62 90.00°
Positions (direct):
O  0.0000  0.5000  0.0000
O  0.0000  0.0000  0.0000
Ag  0.5999  0.2500  0.8002
Ag  0.4001  0.7500  0.1998
Zn  0.8950  0.2500  0.2100
Zn  0.1050  0.7500  0.7900
S  0.2595  0.2500  0.4809
S  0.7405  0.7500  0.5191

Output
Energy above the lowest structure with this stoichiometry (meV per atom): 264
DFT total energy (eV per atom): -3.551
Mass density (g/cm³): 6.048

Material: ZnAgSO
Method: DFT, PBE-GGA
State: optimized geometry

Cell: 6.0034 3.1145 13.7032 Å, 90.00 90.00 90.00°
Positions (direct):
S  0.2925  0.7500  0.4248
S  0.2075  0.2500  0.9248
S  0.7925  0.7500  0.0752
S  0.7075  0.2500  0.5752
O  0.7109  0.7500  0.8532
O  0.2891  0.2500  0.1468
O  0.2109  0.7500  0.6468
O  0.7891  0.2500  0.3532
Zn  0.2019  0.7500  0.0691
Zn  0.2981  0.2500  0.5691
Zn  0.7019  0.7500  0.4309
Zn  0.7981  0.2500  0.9309
Ag  0.6268  0.2500  0.2113
Ag  0.3732  0.7500  0.7887
Ag  0.8732  0.7500  0.7113
Ag  0.1268  0.2500  0.2887

Output
Energy above the lowest structure with this stoichiometry (meV per atom): 155
DFT total energy (eV per atom): -3.659
Mass density (g/cm³): 5.738

Material: ZnAgSO
Method: DFT, PBE-GGA
State: optimized geometry

Cell: 3.8693 3.8693 9.6500 Å, 90.00 90.00 90.00°
Positions (direct):
O  0.7500  0.2500  0.5000
O  0.2500  0.7500  0.5000
S  0.7500  0.7500  0.8627
S  0.2500  0.2500  0.1373
Zn  0.2500  0.2500  0.8921
Zn  0.7500  0.7500  0.1079
Ag  0.7500  0.7500  0.5908
Ag  0.2500  0.2500  0.4092

Output
Energy above the lowest structure with this stoichiometry (meV per atom): 512
DFT total energy (eV per atom): -3.303
Mass density (g/cm³): 5.088

Material: ZnAgSO
Method: DFT, PBE-GGA
State: optimized geometry

Cell: 6.3109 7.5079 5.2814 Å, 90.00 90.00 90.00°
Positions (direct):
S  0.2404  0.3659  0.9908
S  0.7404  0.6341  0.9908
S  0.2596  0.3659  0.4908
S  0.7596  0.6341  0.4908
O  0.1471  0.9359  0.1852
O  0.6471  0.0641  0.1852
O  0.3529  0.9359  0.6852
O  0.8529  0.0641  0.6852
Ag  0.1463  0.6865  0.5678
Ag  0.3537  0.6865  0.0678
Ag  0.6463  0.3135  0.5678
Ag  0.8537  0.3135  0.0678
Zn  0.1226  0.0716  0.5061
Zn  0.8774  0.9284  0.0061
Zn  0.3774  0.0716  0.0061
Zn  0.6226  0.9284  0.5061

Output
Energy above the lowest structure with this stoichiometry (meV per atom): 30
DFT total energy (eV per atom): -3.785
Mass density (g/cm³): 5.875

Material: ZnAgSO
Method: DFT, PBE-GGA
State: optimized geometry

Cell: 3.7074 3.7074 10.1773 Å, 90.00 90.00 90.00°
Positions (direct):
Zn  0.2500  0.7500  0.0000
Zn  0.7500  0.2500  0.0000
Ag  0.7500  0.7500  0.4292
Ag  0.2500  0.2500  0.5708
S  0.2500  0.2500  0.1602
S  0.7500  0.7500  0.8398
O  0.2500  0.2500  0.3188
O  0.7500  0.7500  0.6812

Output
Energy above the lowest structure with this stoichiometry (meV per atom): 541
DFT total energy (eV per atom): -3.274
Mass density (g/cm³): 5.255

Material: ZnAgSO
Method: DFT, PBE-GGA
State: optimized geometry

Cell: 3.2629 3.2630 13.0885 Å, 90.00 90.00 120.00°
Positions (direct):
O  0.0000  0.0000  0.3184
O  0.0000  0.0000  0.8184
S  0.3333  0.6666  0.6169
S  0.6667  0.3334  0.1169
Ag  0.0000  0.0000  0.4854
Ag  0.0000  0.0000  0.9854
Zn  0.6667  0.3334  0.7670
Zn  0.3333  0.6666  0.2670

Output
Energy above the lowest structure with this stoichiometry (meV per atom): 91
DFT total energy (eV per atom): -3.724
Mass density (g/cm³): 6.091

Material: ZnAgSO
Method: DFT, PBE-GGA
State: optimized geometry

Cell: 3.2658 3.2658 11.1585 Å, 90.00 90.00 90.00°
Positions (direct):
O  0.7500  0.7500  0.9156
O  0.2500  0.2500  0.0844
Zn  0.7500  0.7500  0.0958
Zn  0.2500  0.2500  0.9042
Ag  0.2500  0.2500  0.2867
Ag  0.7500  0.7500  0.7133
S  0.7500  0.2500  0.5000
S  0.2500  0.7500  0.5000

Output
Energy above the lowest structure with this stoichiometry (meV per atom): 379
DFT total energy (eV per atom): -3.436
Mass density (g/cm³): 6.177

Copy entry 4 word for word.
Material: ZnAgSO
Method: DFT, PBE-GGA
State: optimized geometry

Cell: 5.5859 6.5253 7.4447 Å, 90.00 90.00 90.00°
Positions (direct):
O  0.0009  0.7284  0.6273
O  0.5009  0.7716  0.3727
O  0.4991  0.2716  0.1273
O  0.9991  0.2284  0.8727
Zn  0.7987  0.6451  0.4254
Zn  0.2013  0.1451  0.0746
Zn  0.7013  0.3549  0.9254
Zn  0.2987  0.8549  0.5746
S  0.4904  0.6483  0.8583
S  0.5096  0.1483  0.6417
S  0.9904  0.8517  0.1417
S  0.0096  0.3517  0.3583
Ag  0.2879  0.5693  0.1540
Ag  0.2121  0.4307  0.6540
Ag  0.7121  0.0693  0.3461
Ag  0.7879  0.9307  0.8460

Output
Energy above the lowest structure with this stoichiometry (meV per atom): 74
DFT total energy (eV per atom): -3.741
Mass density (g/cm³): 5.418